VASP calculation (PBE+U) on a geometry-optimized CoMoIO2 structure.

Values from the calculation:
Offset from the most stable computed form, meV per atom: 526.9
V, Å³/atom: 18.00
Space group: P4/mmm (123)
Crystal system: tetragonal

abc: 3.9855 3.9855 5.6661
angles: 90.00 90.00 90.00
With the nearest neighbours (Å) after each atom.
Element x y z (fractional)
Co (0.0000, 0.0000, 0.0000)  4 O 1.99
Mo (0.5000, 0.5000, 0.5000)  4 I 2.82
I (0.0000, 0.0000, 0.5000)  4 Mo 2.82, 2 Co 2.83
O (0.0000, 0.5000, 0.0000)  2 Co 1.99
O (0.5000, 0.0000, 0.0000)  2 Co 1.99